{
  "formula": "LaHgAu2",
  "functional": "SCAN",
  "state": "PBEsol geometry",
  "cell": [[0.000, 3.533, 3.533], [3.533, 0.000, 3.533], [3.533, 3.533, 0.000]],
  "species": ["La", "Hg", "Au", "Au"],
  "fractional_positions": [[0.000, 0.000, 0.000], [0.250, 0.250, 0.250], [0.500, 0.500, 0.500], [0.750, 0.750, 0.750]],
  "crystal_system": "cubic",
  "space_group": "No. 216",
  "delta_e_f_kj_per_mol_fu": -260,
  "dft_energy_ev_per_atom": -63.071
}

{
  "formula": "TiINO2",
  "functional": "SCAN",
  "state": "PBEsol geometry",
  "cell": [[3.970, 0.000, 0.000], [0.000, 3.970, 0.000], [0.000, 0.000, 4.032]],
  "species": ["Ti", "I", "N", "O", "O"],
  "fractional_positions": [[0.000, 0.000, 0.000], [0.500, 0.500, 0.000], [0.500, 0.500, 0.500], [0.000, 0.500, 0.500], [0.500, 0.000, 0.500]],
  "crystal_system": "tetragonal",
  "space_group": "No. 123",
  "formation_energy_uncorrected_kcal_per_mol_atoms": 18.934,
  "dft_energy_ev_per_atom": -14.084
}

{
  "formula": "YCuSi2Ni",
  "functional": "SCAN",
  "state": "PBEsol geometry",
  "cell": [[-1.960, 1.960, 4.831], [1.960, -1.960, 4.831], [1.960, 1.960, -4.831]],
  "species": ["Y", "Cu", "Si", "Si", "Ni"],
  "fractional_positions": [[0.000, 0.000, 0.000], [0.750, 0.250, 0.500], [0.377, 0.377, 0.000], [0.623, 0.623, 0.000], [0.250, 0.750, 0.500]],
  "crystal_system": "tetragonal",
  "space_group": "No. 119",
  "formation_energy_uncorrected_kcal_per_mol_atoms": -17.566,
  "dft_energy_ev_per_atom": -16.611
}